## PmCu2P2 (PBE)

Data for an optimized crystal structure of PmCu2P2.

Output
Total DFT energy (no corrections): -5.437 eV per atom
Formation energy from the elements: -0.685 eV/atom

Cell lengths 3.855, 3.855, 11.004 Å; angles 90.00, 90.00, 90.00 degrees
Space group I4/mmm (No. 139)
One atom of each set of equivalent atoms:
Pm (0.000, 0.000, 0.000) (multiplicity 2)
Cu (0.000, 0.500, 0.250) (multiplicity 4)
P (0.000, 0.000, 0.376) (multiplicity 4)